# GGA-PBE ErNb2Ga6, optimized geometry
# **Formation energy**: -0.260 eV per atom
# **E_tot**: -45.20 eV for the cell shown
# **Space-group type**: Immm (71)
# **D(E_F)**: 0.53 states/eV/atom
# **Spin magnetization**: 0.00 μB per formula unit
data_ErNb2Ga6
_chemical_formula_sum 'Er1 Nb2 Ga6'
_cell_length_a 7.412
_cell_length_b 7.412
_cell_length_c 7.412
_cell_angle_alpha 148.86
_cell_angle_beta 126.40
_cell_angle_gamma 63.30
_space_group_name_H-M_alt 'P 1'
_space_group_IT_number 1
_space_group_name_Hall 'P 1'
loop_
_atom_site_label
_atom_site_fract_x
_atom_site_fract_y
_atom_site_fract_z
_atom_site_occupancy
Er1 0.000 0.000 0.000 1
Nb1 0.383 0.883 0.500 1
Nb2 0.617 0.117 0.500 1
Ga1 0.014 0.311 0.703 1
Ga2 0.311 0.500 0.811 1
Ga3 0.392 0.689 0.703 1
Ga4 0.608 0.311 0.297 1
Ga5 0.689 0.500 0.189 1
Ga6 0.986 0.689 0.297 1